# PBE with a Hubbard U NaPmV2O8, optimized geometry
data_NaPmV2O8
_chemical_formula_sum 'Na1 Pm1 V2 O8'
_cell_length_a 5.9133
_cell_length_b 5.9133
_cell_length_c 6.9333
_cell_angle_alpha 90.00
_cell_angle_beta 90.00
_cell_angle_gamma 120.00
_space_group_name_H-M_alt 'P 1'
_space_group_IT_number 1
loop_
_space_group_symop_operation_xyz
'x,y,z'
loop_
_atom_site_label
_atom_site_type_symbol
_atom_site_fract_x
_atom_site_fract_y
_atom_site_fract_z
_atom_site_occupancy
Na1 Na 0.0000 0.0000 0.0000 1
Pm1 Pm 0.0000 0.0000 0.5000 1
V1 V 0.3333 0.6667 0.1975 1
V2 V 0.6667 0.3333 0.8025 1
O1 O 0.1713 0.3427 0.2778 1
O2 O 0.1713 0.8287 0.2778 1
O3 O 0.3333 0.6667 0.9508 1
O4 O 0.3427 0.1713 0.7222 1
O5 O 0.6573 0.8287 0.2778 1
O6 O 0.6667 0.3333 0.0492 1
O7 O 0.8287 0.1713 0.7222 1
O8 O 0.8287 0.6573 0.7222 1
# **Raw total energy**: -83.17 eV for the cell shown